A geometry-optimized LiNi2Rh structure, computed with PBEsol.

Cell and atoms, written as POSCAR:
```
LiNi2Rh
1.0
-2.027 0.614 2.839
0.687 -3.263 1.196
3.516 2.569 -0.254
Rh Ni Li
1 2 1
Cartesian
-0.670 -1.324 2.017 Rh
1.766 -1.009 1.479 Ni
0.409 0.929 2.301 Ni
0.000 0.000 0.000 Li
```

Properties
Energy of formation, eV/atom: 0.03
Volume, A^3/atom: 11.200
N(E_F), states/eV/cell: 5.02
Total magnetization, μB/atom: 0.240